1.
{"formula": "TbCoNi3", "functional": "PBE", "state": "optimized geometry", "magmom_total_mub_per_fu": 3.0, "space_group": "Cmcm (63)", "dos_ef_per_ev_cell": 12.83, "formation_energy_ev_per_atom": 0.27, "lattice": [[2.9551, -6.6159, 0.0000], [2.9551, 6.6159, 0.0000], [0.0000, 0.0000, 4.3182]], "species": ["Tb", "Tb", "Co", "Co", "Ni", "Ni", "Ni", "Ni", "Ni", "Ni"], "frac_coords": [[0.1064, 0.8936, 0.7500], [0.8936, 0.1064, 0.2500], [0.3381, 0.6619, 0.7500], [0.6619, 0.3381, 0.2500], [0.0801, 0.5516, 0.2500], [0.4484, 0.9199, 0.2500], [0.5000, 0.5000, 0.0000], [0.5000, 0.5000, 0.5000], [0.5516, 0.0801, 0.7500], [0.9199, 0.4484, 0.7500]]}



2.
{"formula": "Tb2Co2Ni", "functional": "PBE", "state": "optimized geometry", "magmom_total_mub_per_fu": 1.1, "space_group": "P4/mbm (127)", "dos_ef_per_ev_cell": 8.64, "formation_energy_ev_per_atom": -0.14, "lattice": [[6.6066, 0.0000, 0.0000], [0.0000, 6.6066, 0.0000], [0.0000, 0.0000, 4.0419]], "species": ["Tb", "Tb", "Tb", "Tb", "Co", "Co", "Co", "Co", "Ni", "Ni"], "frac_coords": [[0.1830, 0.3170, 0.0000], [0.3170, 0.8170, 0.0000], [0.6830, 0.1830, 0.0000], [0.8170, 0.6830, 0.0000], [0.1211, 0.6211, 0.5000], [0.3789, 0.1211, 0.5000], [0.6211, 0.8789, 0.5000], [0.8789, 0.3789, 0.5000], [0.0000, 0.0000, 0.5000], [0.5000, 0.5000, 0.5000]]}



3.
{"formula": "Tb2Co3Ni", "functional": "PBE", "state": "optimized geometry", "magmom_total_mub_per_fu": 2.9, "space_group": "R-3m (166)", "dos_ef_per_ev_cell": 4.33, "formation_energy_ev_per_atom": -0.25, "lattice": [[2.4995, 1.4431, 4.2865], [-2.4995, 1.4431, 4.2865], [0.0000, -2.8862, 4.2865]], "species": ["Tb", "Tb", "Co", "Co", "Co", "Ni"], "frac_coords": [[0.1220, 0.1220, 0.1220], [0.8780, 0.8780, 0.8780], [0.0000, 0.5000, 0.5000], [0.5000, 0.0000, 0.5000], [0.5000, 0.5000, 0.0000], [0.5000, 0.5000, 0.5000]]}



4.
{"formula": "Tb2CoNi", "functional": "PBE", "state": "optimized geometry", "magmom_total_mub_per_fu": 0.3, "space_group": "P4/mmm (123)", "dos_ef_per_ev_cell": 1.12, "formation_energy_ev_per_atom": -0.26, "lattice": [[3.3592, 0.0000, 0.0000], [0.0000, 3.3592, 0.0000], [0.0000, 0.0000, 6.7855]], "species": ["Tb", "Tb", "Co", "Ni"], "frac_coords": [[0.0000, 0.0000, 0.2462], [0.0000, 0.0000, 0.7538], [0.5000, 0.5000, 0.0000], [0.5000, 0.5000, 0.5000]]}



5.
{"formula": "Tb3CoNi2", "functional": "PBE", "state": "optimized geometry", "magmom_total_mub_per_fu": 0.0, "space_group": "Pnma (62)", "dos_ef_per_ev_cell": 22.03, "formation_energy_ev_per_atom": -0.32, "lattice": [[11.1395, 0.0000, 0.0000], [0.0000, 3.8843, 0.0000], [0.0000, 0.0000, 11.3959]], "species": ["Tb", "Tb", "Tb", "Tb", "Tb", "Tb", "Tb", "Tb", "Tb", "Tb", "Tb", "Tb", "Co", "Co", "Co", "Co", "Ni", "Ni", "Ni", "Ni", "Ni", "Ni", "Ni", "Ni"], "frac_coords": [[0.0579, 0.2500, 0.1233], [0.1201, 0.7500, 0.5558], [0.2100, 0.2500, 0.8025], [0.2900, 0.7500, 0.3025], [0.3799, 0.2500, 0.0558], [0.4421, 0.7500, 0.6233], [0.5579, 0.2500, 0.3767], [0.6201, 0.7500, 0.9442], [0.7100, 0.2500, 0.6975], [0.7900, 0.7500, 0.1975], [0.8799, 0.2500, 0.4442], [0.9421, 0.7500, 0.8767], [0.1254, 0.2500, 0.3696], [0.3746, 0.7500, 0.8696], [0.6254, 0.2500, 0.1304], [0.8746, 0.7500, 0.6304], [0.0236, 0.7500, 0.3099], [0.1906, 0.7500, 0.9884], [0.3094, 0.2500, 0.4884], [0.4764, 0.2500, 0.8099], [0.5236, 0.7500, 0.1901], [0.6906, 0.7500, 0.5116], [0.8094, 0.2500, 0.0116], [0.9764, 0.2500, 0.6901]]}



6.
{"formula": "Tb8Co2Ni", "functional": "PBE", "state": "optimized geometry", "magmom_total_mub_per_fu": 0.0, "space_group": "C2/m (12)", "dos_ef_per_ev_cell": 11.96, "formation_energy_ev_per_atom": 0.11, "lattice": [[6.2255, -3.3191, 0.0000], [6.2255, 3.3191, 0.0000], [-1.2185, 0.0000, 7.8664]], "species": ["Tb", "Tb", "Tb", "Tb", "Tb", "Tb", "Tb", "Tb", "Co", "Co", "Ni"], "frac_coords": [[0.0825, 0.0825, 0.2040], [0.1005, 0.6013, 0.3648], [0.3379, 0.3379, 0.9721], [0.3987, 0.8995, 0.6352], [0.6013, 0.1005, 0.3648], [0.6621, 0.6621, 0.0279], [0.8995, 0.3987, 0.6352], [0.9175, 0.9175, 0.7960], [0.1321, 0.1321, 0.8927], [0.8679, 0.8679, 0.1073], [0.0000, 0.0000, 0.5000]]}



7.
{"formula": "Tb2Co15Ni2", "functional": "PBE", "state": "optimized geometry", "magmom_total_mub_per_fu": 23.1, "space_group": "R-3m (166)", "dos_ef_per_ev_cell": 21.39, "formation_energy_ev_per_atom": -0.10, "lattice": [[4.1643, 2.4043, 4.0198], [-4.1643, 2.4043, 4.0198], [0.0000, -4.8085, 4.0198]], "species": ["Tb", "Tb", "Co", "Co", "Co", "Co", "Co", "Co", "Co", "Co", "Co", "Co", "Co", "Co", "Co", "Co", "Co", "Ni", "Ni"], "frac_coords": [[0.1583, 0.1583, 0.1583], [0.8417, 0.8417, 0.8417], [0.0000, 0.5000, 0.5000], [0.1536, 0.1536, 0.6522], [0.1536, 0.6522, 0.1536], [0.2139, 0.5000, 0.7861], [0.2139, 0.7861, 0.5000], [0.3478, 0.8464, 0.8464], [0.5000, 0.0000, 0.5000], [0.5000, 0.2139, 0.7861], [0.5000, 0.5000, 0.0000], [0.5000, 0.7861, 0.2139], [0.6522, 0.1536, 0.1536], [0.7861, 0.2139, 0.5000], [0.7861, 0.5000, 0.2139], [0.8464, 0.3478, 0.8464], [0.8464, 0.8464, 0.3478], [0.3985, 0.3985, 0.3985], [0.6015, 0.6015, 0.6015]]}



8.
{"formula": "Tb4CoNi", "functional": "PBE", "state": "optimized geometry", "magmom_total_mub_per_fu": 0.0, "space_group": "C2/c (15)", "dos_ef_per_ev_cell": 11.43, "formation_energy_ev_per_atom": -0.13, "lattice": [[4.4784, -6.8311, 0.0000], [4.4784, 6.8311, 0.0000], [-4.3488, 0.0000, 5.0075]], "species": ["Tb", "Tb", "Tb", "Tb", "Tb", "Tb", "Tb", "Tb", "Co", "Co", "Ni", "Ni"], "frac_coords": [[0.0493, 0.6081, 0.8340], [0.2160, 0.2741, 0.7740], [0.2741, 0.2160, 0.2740], [0.3919, 0.9507, 0.6660], [0.6081, 0.0493, 0.3340], [0.7259, 0.7840, 0.7260], [0.7840, 0.7259, 0.2260], [0.9507, 0.3919, 0.1660], [0.0980, 0.9020, 0.7500], [0.9020, 0.0980, 0.2500], [0.3655, 0.6345, 0.2500], [0.6345, 0.3655, 0.7500]]}



9.
{"formula": "Tb12Co3Ni5", "functional": "PBE", "state": "optimized geometry", "magmom_total_mub_per_fu": 0.0, "space_group": "Ia-3d (230)", "dos_ef_per_ev_cell": 78.61, "formation_energy_ev_per_atom": 0.13, "lattice": [[-8.0100, 8.0100, 8.0100], [8.0100, -8.0100, 8.0100], [8.0100, 8.0100, -8.0100]], "species": ["Tb", "Tb", "Tb", "Tb", "Tb", "Tb", "Tb", "Tb", "Tb", "Tb", "Tb", "Tb", "Tb", "Tb", "Tb", "Tb", "Tb", "Tb", "Tb", "Tb", "Tb", "Tb", "Tb", "Tb", "Tb", "Tb", "Tb", "Tb", "Tb", "Tb", "Tb", "Tb", "Tb", "Tb", "Tb", "Tb", "Tb", "Tb", "Tb", "Tb", "Tb", "Tb", "Tb", "Tb", "Tb", "Tb", "Tb", "Tb", "Co", "Co", "Co", "Co", "Co", "Co", "Co", "Co", "Co", "Co", "Co", "Co", "Ni", "Ni", "Ni", "Ni", "Ni", "Ni", "Ni", "Ni", "Ni", "Ni", "Ni", "Ni", "Ni", "Ni", "Ni", "Ni", "Ni", "Ni", "Ni", "Ni"], "frac_coords": [[0.0453, 0.2198, 0.1276], [0.0453, 0.3255, 0.9177], [0.0823, 0.6276, 0.4078], [0.0823, 0.9547, 0.6745], [0.0922, 0.7198, 0.6745], [0.0922, 0.8724, 0.4177], [0.1276, 0.0453, 0.2198], [0.1276, 0.5823, 0.9078], [0.1745, 0.2198, 0.5922], [0.1745, 0.4547, 0.5823], [0.2198, 0.1276, 0.0453], [0.2198, 0.5922, 0.1745], [0.2802, 0.3255, 0.9078], [0.2802, 0.4547, 0.3724], [0.3255, 0.9078, 0.2802], [0.3255, 0.9177, 0.0453], [0.3724, 0.2802, 0.4547], [0.3724, 0.5922, 0.9177], [0.4078, 0.0823, 0.6276], [0.4078, 0.8255, 0.7802], [0.4177, 0.0922, 0.8724], [0.4177, 0.8255, 0.5453], [0.4547, 0.3724, 0.2802], [0.4547, 0.5823, 0.1745], [0.5453, 0.4177, 0.8255], [0.5453, 0.6276, 0.7198], [0.5823, 0.1745, 0.4547], [0.5823, 0.9078, 0.1276], [0.5922, 0.1745, 0.2198], [0.5922, 0.9177, 0.3724], [0.6276, 0.4078, 0.0823], [0.6276, 0.7198, 0.5453], [0.6745, 0.0823, 0.9547], [0.6745, 0.0922, 0.7198], [0.7198, 0.5453, 0.6276], [0.7198, 0.6745, 0.0922], [0.7802, 0.4078, 0.8255], [0.7802, 0.8724, 0.9547], [0.8255, 0.5453, 0.4177], [0.8255, 0.7802, 0.4078], [0.8724, 0.4177, 0.0922], [0.8724, 0.9547, 0.7802], [0.9078, 0.1276, 0.5823], [0.9078, 0.2802, 0.3255], [0.9177, 0.0453, 0.3255], [0.9177, 0.3724, 0.5922], [0.9547, 0.6745, 0.0823], [0.9547, 0.7802, 0.8724], [0.1250, 0.2500, 0.3750], [0.1250, 0.3750, 0.7500], [0.2500, 0.3750, 0.1250], [0.2500, 0.8750, 0.6250], [0.3750, 0.1250, 0.2500], [0.3750, 0.7500, 0.1250], [0.6250, 0.2500, 0.8750], [0.6250, 0.8750, 0.7500], [0.7500, 0.1250, 0.3750], [0.7500, 0.6250, 0.8750], [0.8750, 0.6250, 0.2500], [0.8750, 0.7500, 0.6250], [0.0000, 0.0000, 0.0000], [0.0000, 0.0000, 0.5000], [0.0000, 0.5000, 0.0000], [0.0000, 0.5000, 0.5000], [0.1250, 0.7500, 0.8750], [0.1250, 0.8750, 0.2500], [0.2500, 0.1250, 0.8750], [0.2500, 0.6250, 0.3750], [0.3750, 0.2500, 0.6250], [0.3750, 0.6250, 0.7500], [0.5000, 0.0000, 0.0000], [0.5000, 0.0000, 0.5000], [0.5000, 0.5000, 0.0000], [0.5000, 0.5000, 0.5000], [0.6250, 0.3750, 0.2500], [0.6250, 0.7500, 0.3750], [0.7500, 0.3750, 0.6250], [0.7500, 0.8750, 0.1250], [0.8750, 0.1250, 0.7500], [0.8750, 0.2500, 0.1250]]}



10.
{"formula": "Tb2CoNi", "functional": "PBE", "state": "optimized geometry", "magmom_total_mub_per_fu": 0.0, "space_group": "Amm2 (38)", "dos_ef_per_ev_cell": 2.94, "formation_energy_ev_per_atom": -0.30, "lattice": [[3.9527, 0.0000, 0.0000], [0.0000, 1.9243, 5.2661], [0.0000, -1.9243, 5.2661]], "species": ["Tb", "Tb", "Co", "Ni"], "frac_coords": [[0.0000, 0.0000, 0.0000], [0.5000, 0.2831, 0.2831], [0.0000, 0.7111, 0.7111], [0.5000, 0.5745, 0.5745]]}



11.
{"formula": "Tb2CoNi", "functional": "PBE", "state": "optimized geometry", "magmom_total_mub_per_fu": 0.0, "space_group": "Fm-3m (225)", "dos_ef_per_ev_cell": 3.13, "formation_energy_ev_per_atom": -0.24, "lattice": [[0.0000, 3.3689, 3.3689], [3.3689, 0.0000, 3.3689], [3.3689, 3.3689, 0.0000]], "species": ["Tb", "Tb", "Co", "Ni"], "frac_coords": [[0.2500, 0.2500, 0.2500], [0.7500, 0.7500, 0.7500], [0.0000, 0.0000, 0.0000], [0.5000, 0.5000, 0.5000]]}



12.
{"formula": "Tb2CoNi", "functional": "PBE", "state": "optimized geometry", "magmom_total_mub_per_fu": 0.0, "space_group": "P2_1/m (11)", "dos_ef_per_ev_cell": 5.92, "formation_energy_ev_per_atom": -0.30, "lattice": [[5.6231, 0.0000, 0.0000], [0.0000, 3.9209, 0.0000], [-2.6755, 0.0000, 7.2737]], "species": ["Tb", "Tb", "Tb", "Tb", "Co", "Co", "Ni", "Ni"], "frac_coords": [[0.2160, 0.2500, 0.4333], [0.2176, 0.2500, 0.9251], [0.7824, 0.7500, 0.0749], [0.7840, 0.7500, 0.5667], [0.3639, 0.7500, 0.7175], [0.6361, 0.2500, 0.2825], [0.3625, 0.7500, 0.2148], [0.6375, 0.2500, 0.7852]]}